Computed, not measured: crystalline NpU3Pd4S12 at its relaxed geometry at the GGA-PBE level of DFT.

Cell lengths 8.2849, 8.2849, 8.2849 Å; angles 106.03, 106.03, 106.03 degrees
Site moments in Bohr magnetons follow the coordinates.
Element x y z (fractional)
S (0.6677, 0.5000, 0.3323)  -0.01
S (0.9093, 0.5000, 0.0907)  0.00
S (0.6921, 0.7706, 0.0161)  -0.05
S (0.9839, 0.2294, 0.3079)  -0.05
S (0.0161, 0.6921, 0.7706)  -0.05
S (0.3323, 0.6677, 0.5000)  -0.01
S (0.3079, 0.9839, 0.2294)  -0.05
S (0.0907, 0.9093, 0.5000)  0.00
S (0.5000, 0.0907, 0.9093)  0.00
S (0.2294, 0.3079, 0.9839)  -0.05
S (0.7706, 0.0161, 0.6921)  -0.05
S (0.5000, 0.3323, 0.6677)  -0.01
U (0.5627, 0.4373, 0.0000)  0.02
U (0.4373, 0.0000, 0.5627)  0.02
U (0.0000, 0.5627, 0.4373)  0.02
Np (0.0000, 0.0000, 0.0000)  3.48
Pd (0.0909, 0.5000, 0.9091)  -0.05
Pd (0.5000, 0.5000, 0.5000)  -0.03
Pd (0.9091, 0.0909, 0.5000)  -0.05
Pd (0.5000, 0.9091, 0.0909)  -0.05

## Properties
Electronic total energy ... -6.564 eV/atom
D(E_F) ... 16.79 states/eV/f.u.
Crystal system ... trigonal
ΔE_f (raw) ... -0.7088 eV/atom

Computed, not measured: crystalline Np2UPdS6 at its relaxed geometry at the GGA-PBE level of DFT.

Cell lengths 6.6370, 5.9949, 5.9949 Å; angles 90.00, 90.00, 90.00 degrees
Site moments in Bohr magnetons follow the coordinates.
Element x y z (fractional)
Np (0.0114, 0.0000, 0.5000)  3.73
Np (0.0114, 0.5000, 0.0000)  3.73
Pd (0.5080, 0.0000, 0.0000)  -0.31
S (0.1699, 0.5000, 0.5000)  -0.08
S (0.1566, 0.0000, 0.0000)  -0.14
S (0.7534, 0.2390, 0.2390)  -0.14
S (0.7534, 0.7610, 0.7610)  -0.14
S (0.7534, 0.2390, 0.7610)  -0.14
S (0.7534, 0.7610, 0.2390)  -0.14
U (0.5760, 0.5000, 0.5000)  1.40

## Properties
Electronic total energy ... -7.522 eV/atom
D(E_F) ... 22.82 states/eV/f.u.
Crystal system ... tetragonal
ΔE_f (raw) ... -0.8091 eV/atom

Computed, not measured: crystalline NpU2PdS5 at its relaxed geometry at the GGA-PBE level of DFT.

Cell lengths 7.2549, 7.2549, 8.2458 Å; angles 116.10, 116.10, 90.00 degrees
Site moments in Bohr magnetons follow the coordinates.
Element x y z (fractional)
U (0.8799, 0.6201, 0.0000)  0.54
U (0.6201, 0.1201, 0.0000)  0.54
U (0.1201, 0.3799, 0.0000)  0.54
U (0.3799, 0.8799, 0.0000)  0.54
Np (0.7500, 0.7500, 0.5000)  3.93
Np (0.2500, 0.2500, 0.5000)  3.93
Pd (0.7500, 0.2500, 0.5000)  -0.04
Pd (0.2500, 0.7500, 0.5000)  -0.04
S (0.4561, 0.3236, 0.2797)  -0.05
S (0.6764, 0.1764, 0.7203)  -0.05
S (0.3236, 0.8236, 0.2797)  -0.05
S (0.0000, 0.0000, 0.0000)  -0.06
S (0.5000, 0.5000, 0.0000)  -0.06
S (0.5439, 0.6764, 0.7203)  -0.05
S (0.9561, 0.4561, 0.2797)  -0.05
S (0.8236, 0.9561, 0.2797)  -0.05
S (0.1764, 0.0439, 0.7203)  -0.05
S (0.0439, 0.5439, 0.7203)  -0.05

## Properties
Electronic total energy ... -7.942 eV/atom
D(E_F) ... 12.52 states/eV/f.u.
Crystal system ... tetragonal
ΔE_f (raw) ... -1.1259 eV/atom

Computed, not measured: crystalline YNp2PdS4 at its relaxed geometry at the GGA-PBE level of DFT.

Cell lengths 6.6373, 5.8472, 5.8472 Å; angles 71.21, 55.42, 55.42 degrees
Site moments in Bohr magnetons follow the coordinates.
Element x y z (fractional)
S (0.5035, 0.0000, 0.4201)  -0.08
S (0.9235, 0.0000, 0.5799)  -0.08
S (0.0765, 0.4201, 0.0000)  -0.08
S (0.4965, 0.5799, 0.0000)  -0.08
Pd (0.5000, 0.0000, 0.0000)  -0.14
Np (0.5000, 0.5000, 0.5000)  4.06
Np (0.0000, 0.5000, 0.5000)  4.06
Y (0.0000, 0.0000, 0.0000)  0.26

## Properties
Electronic total energy ... -7.947 eV/atom
D(E_F) ... 10.69 states/eV/f.u.
Crystal system ... tetragonal
ΔE_f (raw) ... -1.1914 eV/atom

Computed, not measured: crystalline ZrNpPdS4 at its relaxed geometry at the GGA-PBE level of DFT.

Cell lengths 7.3737, 7.5833, 7.5833 Å; angles 63.47, 60.91, 60.91 degrees
Site moments in Bohr magnetons follow the coordinates.
Element x y z (fractional)
Zr (0.0000, 0.0000, 0.5000)  0.11
Zr (0.5000, 0.0000, 0.5000)  0.11
Np (0.0000, 0.0000, 0.0000)  3.30
Np (0.0000, 0.5000, 0.5000)  3.30
S (0.7462, 0.7756, 0.7319)  -0.06
S (0.7600, 0.2439, 0.7439)  -0.10
S (0.2523, 0.2439, 0.7439)  -0.10
S (0.2538, 0.2244, 0.2681)  -0.06
S (0.2400, 0.7561, 0.2561)  -0.10
S (0.7477, 0.7561, 0.2561)  -0.10
S (0.7462, 0.2319, 0.2756)  -0.06
S (0.2538, 0.7681, 0.7244)  -0.06
Pd (0.6423, 0.6077, 0.1077)  -0.22
Pd (0.3577, 0.3923, 0.8923)  -0.22

## Properties
Electronic total energy ... -7.328 eV/atom
D(E_F) ... 9.01 states/eV/f.u.
Crystal system ... orthorhombic
ΔE_f (raw) ... -1.1575 eV/atom

Computed, not measured: crystalline ZrNp2PdS5 at its relaxed geometry at the GGA-PBE level of DFT.

Cell lengths 3.7523, 8.2179, 11.6608 Å; angles 90.00, 90.00, 103.20 degrees
Site moments in Bohr magnetons follow the coordinates.
Element x y z (fractional)
S (0.2971, 0.5943, 0.3584)  -0.05
S (0.6958, 0.3916, 0.1790)  -0.05
S (0.0157, 0.0314, 0.0329)  -0.08
S (0.9843, 0.9686, 0.5329)  -0.08
S (0.7029, 0.4057, 0.8584)  -0.05
S (0.5036, 0.0072, 0.2440)  -0.13
S (0.4964, 0.9928, 0.7440)  -0.13
S (0.3042, 0.6084, 0.6790)  -0.05
S (0.3440, 0.6881, 0.0212)  -0.08
S (0.6560, 0.3119, 0.5212)  -0.08
Np (0.8927, 0.7854, 0.8478)  3.87
Np (0.8796, 0.7592, 0.1973)  3.79
Np (0.1204, 0.2408, 0.6973)  3.79
Np (0.1073, 0.2146, 0.3478)  3.87
Pd (0.5616, 0.1232, 0.9231)  -0.10
Pd (0.4384, 0.8768, 0.4231)  -0.10
Zr (0.1804, 0.3608, 0.0204)  0.07
Zr (0.8196, 0.6392, 0.5204)  0.07

## Properties
Electronic total energy ... -7.953 eV/atom
D(E_F) ... 17.19 states/eV/f.u.
Crystal system ... orthorhombic
ΔE_f (raw) ... -1.2579 eV/atom

Computed, not measured: crystalline Np2SbPd8 at its relaxed geometry at the GGA-PBE level of DFT.

Cell lengths 5.4806, 8.0922, 7.7269 Å; angles 58.42, 68.16, 44.72 degrees
Site moments in Bohr magnetons follow the coordinates.
Element x y z (fractional)
Sb (0.5000, 0.0000, 0.0000)  -0.03
Pd (0.8776, 0.3356, 0.7729)  -0.06
Pd (0.5000, 0.2140, 0.5720)  -0.07
Pd (0.1224, 0.6644, 0.2271)  -0.06
Pd (0.1224, 0.8915, 0.7729)  -0.06
Pd (0.5000, 0.7860, 0.4280)  -0.07
Pd (0.6745, 0.5949, 0.0000)  -0.08
Pd (0.3255, 0.4051, 0.0000)  -0.08
Pd (0.8776, 0.1085, 0.2271)  -0.06
Np (0.0000, 0.3082, 0.3836)  3.52
Np (0.0000, 0.6918, 0.6164)  3.52

## Properties
Electronic total energy ... -6.762 eV/atom
D(E_F) ... 23.43 states/eV/f.u.
Crystal system ... monoclinic
ΔE_f (raw) ... -0.2575 eV/atom

Computed, not measured: crystalline NpSb3Pd at its relaxed geometry at the GGA-PBE level of DFT.

Cell lengths 6.1264, 6.2020, 12.6638 Å; angles 90.00, 90.00, 90.00 degrees
Site moments in Bohr magnetons follow the coordinates.
Element x y z (fractional)
Sb (0.7500, 0.4968, 0.2468)  -0.06
Sb (0.5000, 0.7500, 0.5030)  -0.05
Sb (0.7500, 0.9968, 0.7532)  -0.06
Sb (0.2500, 0.1169, 0.9307)  0.01
Sb (0.2500, 0.5032, 0.7532)  -0.06
Sb (0.0000, 0.7500, 0.5030)  -0.05
Sb (0.2500, 0.6169, 0.0693)  0.01
Sb (0.7500, 0.3831, 0.9307)  0.01
Sb (0.7500, 0.8831, 0.0693)  0.01
Sb (0.5000, 0.2500, 0.4970)  -0.05
Sb (0.2500, 0.0032, 0.2468)  -0.06
Sb (0.0000, 0.2500, 0.4970)  -0.05
Pd (0.5000, 0.7500, 0.9029)  0.01
Pd (0.0000, 0.7500, 0.9029)  0.01
Pd (0.5000, 0.2500, 0.0971)  0.01
Pd (0.0000, 0.2500, 0.0971)  0.01
Np (0.2500, 0.0056, 0.6901)  3.79
Np (0.7500, 0.4944, 0.6901)  3.79
Np (0.7500, 0.9944, 0.3099)  3.79
Np (0.2500, 0.5056, 0.3099)  3.79

## Properties
Electronic total energy ... -6.435 eV/atom
D(E_F) ... 11.34 states/eV/f.u.
Crystal system ... orthorhombic
ΔE_f (raw) ... -0.3349 eV/atom

> Among the records above, which one has the highest D(E_F)?

Np2SbPd8

> Which of these has the highest electronic total energy?

NpSb3Pd